Record 1
Material: Y2TcSb
Method: DFT, PBE
State: optimized geometry

Cell and atoms, written as extended XYZ:
```
4
Lattice="4.256 0.000 0.000 0.000 4.166 -0.003 0.000 2.088 5.566" Properties=species:S:1:pos:R:3 pbc="T T T"
Y 0.000 5.993 5.013
Sb 0.000 3.909 2.670
Y 2.128 1.826 1.819
Tc 2.128 3.908 4.406
```

Properties
* space group: Amm2 (38)
* DFT total energy: -7.2744 eV per atom

***

Record 2
Material: YTcSb
Method: DFT, PBE
State: optimized geometry

Cell and atoms, written as extended XYZ:
```
3
Lattice="-3.625 2.258 -2.199 -1.261 -1.259 -4.461 -4.149 -2.297 -0.766" Properties=species:S:1:pos:R:3 pbc="T T T"
Y -6.776 -0.974 -5.570
Sb 0.000 0.000 0.000
Tc -4.518 -0.650 -3.713
```

Properties
* space group: F-43m (216)
* DFT total energy: -6.3219 eV per atom
* relative energy among the computed polymorphs: 275 kJ/mol of formula units

***

Record 3
Material: Y4TcSb
Method: DFT, PBE
State: optimized geometry

Cell and atoms, written as extended XYZ:
```
24
Lattice="-2.148 -1.126 3.535 6.679 1.041 4.390 -4.691 17.979 2.876" Properties=species:S:1:pos:R:3 pbc="T T T"
Sb 2.998 6.013 5.037
Y -3.847 13.947 3.405
Y 1.960 8.161 7.690
Y -0.922 9.839 6.474
Y 0.761 8.055 4.328
Sb -3.159 11.881 5.764
Tc 1.811 10.580 5.771
Tc 3.141 1.036 6.139
Y -1.411 6.275 2.441
Y 2.939 2.923 4.017
Y 3.686 3.946 7.397
Y -0.011 4.794 5.421
Tc -1.972 7.314 5.031
Y -5.995 15.961 5.341
Y 1.250 11.619 8.360
Sb -0.354 14.450 8.287
Sb 0.193 3.444 2.514
Y -3.100 14.971 6.785
Y 0.512 0.391 4.336
Y -0.150 13.099 5.381
Tc -3.302 16.857 4.663
Y 5.834 1.932 5.461
Y -2.120 9.732 3.111
Y -0.673 17.502 6.466
```

Properties
* space group: Pnma (62)
* DFT total energy: -7.1904 eV per atom
* relative energy among the computed polymorphs: 0 kJ/mol of formula units

***

Record 4
Material: YTc3Sb
Method: DFT, PBE
State: optimized geometry

Cell and atoms, written as extended XYZ:
```
5
Lattice="4.867 0.000 0.000 0.000 4.867 0.000 0.000 0.000 4.867" Properties=species:S:1:pos:R:3 pbc="T T T"
Y 2.433 2.433 2.433
Tc 0.000 2.433 0.000
Tc 2.433 0.000 0.000
Sb 0.000 0.000 0.000
Tc 0.000 0.000 2.433
```

Properties
* space group: Pm-3m (221)
* DFT total energy: -7.2113 eV per atom
* relative energy among the computed polymorphs: 0 kJ/mol of formula units

***

Record 5
Material: YTcSb2
Method: DFT, PBE
State: optimized geometry

Cell and atoms, written as extended XYZ:
```
4
Lattice="5.740 0.053 0.000 2.512 5.162 0.000 -4.126 -2.608 3.021" Properties=species:S:1:pos:R:3 pbc="T T T"
Sb 1.256 2.581 1.511
Y 2.870 0.027 1.511
Sb 0.000 0.000 0.000
Tc 4.126 2.608 0.000
```

Properties
* space group: I-4m2 (119)
* DFT total energy: -6.3193 eV per atom
* relative energy among the computed polymorphs: 116 kJ/mol of formula units

***

Record 6
Material: Y2TcSb
Method: DFT, PBE
State: optimized geometry

Cell and atoms, written as extended XYZ:
```
4
Lattice="6.523 -0.016 0.001 3.805 5.298 -0.001 -4.730 -3.489 2.828" Properties=species:S:1:pos:R:3 pbc="T T T"
Y 0.438 0.224 0.000
Y 3.528 -0.407 1.414
Sb 4.570 2.337 0.000
Tc 2.226 2.279 1.413
```

Properties
* space group: Imm2 (44)
* DFT total energy: -7.1781 eV per atom